The following is a PBE-GGA calculation of an optimized crystal structure of LiYTlPd, from OQMD via LeMat-Bulk.

a = 4.8617 Å, b = 4.8617 Å, c = 4.8617 Å
α = 60.00°, β = 60.00°, γ = 60.00°
Last column: nearest neighbours and their distance in Å.
Atoms (fractional coordinates):
Li 0.7500 0.7500 0.7500  4 Pd 2.98, 4 Y 2.98
Pd 0.0000 0.0000 0.0000  4 Li 2.98, 4 Tl 2.98
Tl 0.2500 0.2500 0.2500  4 Y 2.98, 4 Pd 2.98
Y 0.5000 0.5000 0.5000  4 Tl 2.98, 4 Li 2.98

Computed properties:
* space group: No. 216
* spin magnetization: 0.00 μB per formula unit
* polymorph energy (0 for the lowest one): 154 meV/atom

The following is a PBE-GGA calculation of an optimized crystal structure of TlCuSe2, from OQMD via LeMat-Bulk.

a = 7.4114 Å, b = 6.8588 Å, c = 8.1250 Å
α = 90.00°, β = 93.18°, γ = 90.00°
Last column: nearest neighbours and their distance in Å.
Atoms (fractional coordinates):
Cu 0.0791 0.6574 0.0736  4 Se 2.40-2.49
Cu 0.9209 0.1574 0.4264  4 Se 2.40-2.49
Cu 0.0791 0.8426 0.5736  4 Se 2.40-2.49
Cu 0.9209 0.3426 0.9264  4 Se 2.40-2.49
Se 0.4016 0.7271 0.0692  1 Cu 2.44
Se 0.0593 0.3281 0.2006  3 Cu 2.40-2.49
Se 0.9407 0.8281 0.2994  3 Cu 2.40-2.49
Se 0.5984 0.2271 0.4308  1 Cu 2.44
Se 0.4016 0.7729 0.5692  1 Cu 2.44
Se 0.0593 0.1719 0.7006  3 Cu 2.40-2.49
Se 0.9407 0.6719 0.7994  3 Cu 2.40-2.49
Se 0.5984 0.2729 0.9308  1 Cu 2.44
Tl 0.3613 0.1147 0.1644  4 Se 2.70-2.87
Tl 0.6387 0.6147 0.3356  4 Se 2.70-2.87
Tl 0.3613 0.3853 0.6644  4 Se 2.70-2.87
Tl 0.6387 0.8853 0.8356  4 Se 2.70-2.87

Computed properties:
* DFT total energy: -54.629 eV for the cell shown
* space group: No. 14

The following is a PBE-GGA calculation of an optimized crystal structure of SmHoHf, from OQMD via LeMat-Bulk.

a = 5.2032 Å, b = 5.2032 Å, c = 5.2032 Å
α = 60.00°, β = 60.00°, γ = 60.00°
Last column: nearest neighbours and their distance in Å.
Atoms (fractional coordinates):
Hf 0.0000 0.0000 0.0000  4 Ho 3.19, 4 Sm 3.19
Ho 0.2500 0.2500 0.2500  4 Hf 3.19
Sm 0.7500 0.7500 0.7500  4 Hf 3.19

Computed properties:
* E_form: 2.6 eV/f.u.
* space group: No. 216
* spin magnetization: 1.01 μB per formula unit
* polymorph energy (0 for the lowest one): 0 meV/atom

The following is a PBE-GGA calculation of an optimized crystal structure of Li2LaCdIn2Cu2, from OQMD via LeMat-Bulk.

a = 4.7403 Å, b = 4.7403 Å, c = 6.9313 Å
α = 90.00°, β = 90.00°, γ = 90.00°
Last column: nearest neighbours and their distance in Å.
Atoms (fractional coordinates):
Cd 0.0000 0.0000 0.0000  4 Li 2.77, 4 Cu 2.85
Cu 0.0000 0.5000 0.2294  2 Cd 2.85, 4 In 2.85-3.02, 2 La 3.02, 1 Li 3.03
Cu 0.5000 0.0000 0.7706  2 Cd 2.85, 4 In 2.85-3.02, 2 La 3.02, 1 Li 3.03
In 0.5000 0.5000 0.0000  4 Li 2.77, 4 Cu 2.85
In 0.0000 0.0000 0.5000  4 Cu 3.02, 4 Li 3.12, 4 La 3.35
La 0.5000 0.5000 0.5000  4 Cu 3.02, 4 Li 3.12, 4 In 3.35
Li 0.5000 0.0000 0.2078  2 In 2.77, 2 Cd 2.77, 1 Cu 3.03
Li 0.0000 0.5000 0.7922  2 Cd 2.77, 2 In 2.77, 1 Cu 3.03

Computed properties:
* DFT total energy: -23.971 eV for the cell shown
* space group: No. 115
* spin magnetization: 0.00 μB per formula unit

The following is a PBE-GGA calculation of an optimized crystal structure of ScZn2Ge, from OQMD via LeMat-Bulk.

a = 4.6231 Å, b = 4.6231 Å, c = 4.6231 Å
α = 60.00°, β = 60.00°, γ = 60.00°
Last column: nearest neighbours and their distance in Å.
Atoms (fractional coordinates):
Ge 0.2500 0.2500 0.2500  4 Zn 2.83, 4 Sc 2.83
Sc 0.0000 0.0000 0.0000  4 Zn 2.83, 4 Ge 2.83
Zn 0.5000 0.5000 0.5000  4 Ge 2.83, 4 Zn 2.83
Zn 0.7500 0.7500 0.7500  4 Sc 2.83, 4 Zn 2.83

Computed properties:
* DFT total energy: -14.135 eV for the cell shown
* space group: No. 216
* spin magnetization: 0.00 μB per formula unit

The following is a PBE-GGA calculation of an optimized crystal structure of TlPd6Au5, from OQMD via LeMat-Bulk.

a = 6.8581 Å, b = 6.8581 Å, c = 7.2405 Å
α = 90.01°, β = 90.01°, γ = 143.21°
Last column: nearest neighbours and their distance in Å.
Atoms (fractional coordinates):
Au 0.6711 0.3289 0.0000  8 Pd 2.79-2.86, 2 Au 2.98, 2 Tl 3.11
Au 0.3289 0.6711 0.0000  8 Pd 2.79-2.86, 2 Au 2.98, 2 Tl 3.11
Au 0.0000 0.0000 0.5000  8 Pd 2.81-2.83, 4 Au 3.06
Au 0.6659 0.3341 0.5000  8 Pd 2.81-2.82, 4 Au 3.06-3.08
Au 0.3341 0.6659 0.5000  8 Pd 2.81-2.82, 4 Au 3.06-3.08
Pd 0.5000 0.5000 0.2485  2 Tl 2.81-2.82, 6 Au 2.82-2.86, 4 Pd 3.06
Pd 0.8334 0.1666 0.2525  7 Au 2.79-2.83, 1 Tl 2.84, 4 Pd 3.06
Pd 0.1666 0.8334 0.2525  7 Au 2.79-2.83, 1 Tl 2.84, 4 Pd 3.06
Pd 0.8334 0.1666 0.7475  7 Au 2.79-2.83, 1 Tl 2.84, 4 Pd 3.06
Pd 0.1666 0.8334 0.7475  7 Au 2.79-2.83, 1 Tl 2.84, 4 Pd 3.06
Pd 0.5000 0.5000 0.7515  2 Tl 2.81-2.82, 6 Au 2.82-2.86, 4 Pd 3.06
Tl 0.0000 0.0000 0.0000  8 Pd 2.81-2.84, 4 Au 3.11

Computed properties:
* DFT total energy: -51.406 eV for the cell shown
* space group: No. 65

The following is a PBE-GGA calculation of an optimized crystal structure of TbHo2Cu4Pb4, from OQMD via LeMat-Bulk.

a = 8.5741 Å, b = 8.5741 Å, c = 8.5741 Å
α = 149.33°, β = 131.34°, γ = 58.63°
Last column: nearest neighbours and their distance in Å.
Atoms (fractional coordinates):
Cu 0.9829 0.6706 0.3124  1 Cu 2.65, 4 Pb 2.66-2.78
Cu 0.6418 0.3294 0.3124  1 Cu 2.65, 4 Pb 2.66-2.78
Cu 0.0171 0.3294 0.6876  1 Cu 2.65, 4 Pb 2.66-2.78
Cu 0.3582 0.6706 0.6876  1 Cu 2.65, 4 Pb 2.66-2.78
Ho 0.6316 0.1316 0.5000  6 Pb 3.21-3.34, 6 Cu 3.22-3.24
Ho 0.3684 0.8684 0.5000  6 Pb 3.21-3.34, 6 Cu 3.22-3.24
Pb 0.2167 0.2167 0.0000  6 Cu 2.72-2.78
Pb 0.7833 0.7833 0.0000  6 Cu 2.72-2.78
Pb 0.7076 0.5000 0.2076  2 Cu 2.66, 1 Pb 2.93
Pb 0.2924 0.5000 0.7924  2 Cu 2.66, 1 Pb 2.93
Tb 0.0000 0.0000 0.0000  6 Pb 3.07-3.24

Computed properties:
* DFT total energy: -46.273 eV for the cell shown
* space group: No. 71
* spin magnetization: 0.00 μB per formula unit

The following is a PBE-GGA calculation of an optimized crystal structure of KPrCdTe3, from OQMD via LeMat-Bulk.

a = 9.2619 Å, b = 4.5998 Å, c = 11.0852 Å
α = 90.00°, β = 106.69°, γ = 90.00°
Last column: nearest neighbours and their distance in Å.
Atoms (fractional coordinates):
Cd 0.5812 0.2500 0.1106  4 Te 2.82-2.98
Cd 0.4188 0.7500 0.8894  4 Te 2.82-2.98
K 0.2596 0.7500 0.2298  6 Te 3.51-3.85
K 0.7404 0.2500 0.7702  6 Te 3.51-3.85
Pr 0.8122 0.7500 0.3661  6 Te 3.14-3.39
Pr 0.1878 0.2500 0.6339  6 Te 3.14-3.39
Te 0.7382 0.7500 0.0484  3 Cd 2.91-2.98
Te 0.0414 0.2500 0.3409  3 Pr 3.14-3.20, 2 K 3.51
Te 0.5671 0.2500 0.3617  1 Cd 2.82
Te 0.4329 0.7500 0.6383  1 Cd 2.82
Te 0.9586 0.7500 0.6591  3 Pr 3.14-3.20, 2 K 3.51
Te 0.2618 0.2500 0.9516  3 Cd 2.91-2.98

Computed properties:
* DFT total energy: -45.177 eV for the cell shown
* space group: No. 11
* spin magnetization: 0.00 μB per formula unit

The following is a PBE-GGA calculation of an optimized crystal structure of YTmTlTe3, from OQMD via LeMat-Bulk.

a = 7.9619 Å, b = 7.9619 Å, c = 11.9580 Å
α = 90.00°, β = 90.00°, γ = 148.19°
Last column: nearest neighbours and their distance in Å.
Atoms (fractional coordinates):
Te 0.1417 0.8583 0.0217  1 Y 2.93, 2 Tm 3.09
Te 0.4382 0.5618 0.2500  2 Y 2.99, 2 Tm 3.14
Te 0.1417 0.8583 0.4783  1 Y 2.93, 2 Tm 3.09
Te 0.8583 0.1417 0.5217  1 Y 2.93, 2 Tm 3.09
Te 0.5618 0.4382 0.7500  2 Y 2.99, 2 Tm 3.14
Te 0.8583 0.1417 0.9783  1 Y 2.93, 2 Tm 3.09
Tl 0.7548 0.2452 0.2500  2 Y 3.55, 8 Te 3.56-3.90
Tl 0.2452 0.7548 0.7500  2 Y 3.55, 8 Te 3.56-3.90
Tm 0.5000 0.5000 0.0000  6 Te 3.09-3.14
Tm 0.5000 0.5000 0.5000  6 Te 3.09-3.14
Y 0.0720 0.9280 0.2500  4 Te 2.93-2.99
Y 0.9280 0.0720 0.7500  4 Te 2.93-2.99

Computed properties:
* space group: No. 63
* spin magnetization: 0.43 μB per formula unit
* polymorph energy (0 for the lowest one): 80 meV/atom

The following is a PBE-GGA calculation of an optimized crystal structure of GaPAuO, from OQMD via LeMat-Bulk.

a = 3.1371 Å, b = 6.9090 Å, c = 6.6346 Å
α = 90.00°, β = 90.00°, γ = 90.00°
Last column: nearest neighbours and their distance in Å.
Atoms (fractional coordinates):
Au 0.5000 0.5706 0.4292  1 O 2.20, 2 P 2.37
Au 0.5000 0.4294 0.9292  1 O 2.20, 2 P 2.37
Ga 0.0000 0.8651 0.0241  2 O 1.89
Ga 0.0000 0.1349 0.5241  2 O 1.89
O 0.5000 0.2519 0.4231  2 Ga 1.89
O 0.5000 0.7481 0.9231  2 Ga 1.89
P 0.0000 0.8220 0.3776  2 Ga 2.36-2.37, 2 Au 2.37
P 0.0000 0.1780 0.8776  2 Ga 2.36-2.37, 2 Au 2.37

Computed properties:
* space group: No. 26
* polymorph energy (0 for the lowest one): 0 meV/atom

The following is a PBE-GGA calculation of an optimized crystal structure of K2Cd2BiSb, from OQMD via LeMat-Bulk.

a = 4.8825 Å, b = 4.8825 Å, c = 8.3815 Å
α = 90.00°, β = 90.00°, γ = 90.00°
Last column: nearest neighbours and their distance in Å.
Atoms (fractional coordinates):
Bi 0.0000 0.0000 0.2165  4 Cd 3.06
Cd 0.5000 0.0000 0.9960  2 Sb 3.01, 2 Bi 3.06
Cd 0.0000 0.5000 0.9960  2 Sb 3.01, 2 Bi 3.06
K 0.5000 0.5000 0.3436  4 Bi 3.61, 1 Sb 3.71, 4 Cd 3.80
K 0.0000 0.0000 0.6617  4 Sb 3.61, 4 Cd 3.72, 1 Bi 3.73
Sb 0.5000 0.5000 0.7863  4 Cd 3.01

Computed properties:
* DFT total energy: -14.402 eV for the cell shown
* space group: No. 99

The following is a PBE-GGA calculation of an optimized crystal structure of YNb, from OQMD via LeMat-Bulk.

a = 4.7392 Å, b = 4.7392 Å, c = 4.7392 Å
α = 60.00°, β = 60.00°, γ = 60.00°
Last column: nearest neighbours and their distance in Å.
Atoms (fractional coordinates):
Nb 0.0000 0.0000 0.0000  4 Y 2.90
Y 0.2500 0.2500 0.2500  4 Nb 2.90

Computed properties:
* E_form: 5.0 eV/f.u.
* space group: No. 216
* spin magnetization: 4.14 μB per formula unit
* polymorph energy (0 for the lowest one): 2006 meV/atom